Sr2FeNiO4 | PBE with a Hubbard U | relaxed

a b c (Å): 5.3443 5.3443 5.3443
angles (deg): 105.09 111.70 111.70
With the nearest neighbours (Å) after each atom.
Fractional positions:
1 O 0.6315 0.4654 0.5059  1 Fe 1.92, 1 Ni 2.09
2 Sr 0.5000 0.7500 0.2500  4 O 2.42
3 Sr 0.0000 0.0000 0.0000  8 O 2.66-2.90
4 O 0.3685 0.8743 0.8339  1 Fe 1.92, 1 Ni 2.09
5 Fe 0.0000 0.5000 0.5000  4 O 1.92
6 O 0.9595 0.4941 0.1257  1 Fe 1.92, 1 Ni 2.09
7 O 0.0405 0.1661 0.5346  1 Fe 1.92, 1 Ni 2.09
8 Ni 0.5000 0.2500 0.7500  4 O 2.09

Values from the calculation:
The calculation puts the total energy at -45.61 eV per cell. For the mass density, the calculation gives 5.0 g cm⁻³.